Entry 1:
# TiPt3O

A relaxed structure of TiPt3O (GGA-PBE, Alexandria via LeMat-Bulk).

```
data_TiPt3O
_chemical_formula_sum 'Ti1 Pt3 O1'
_cell_length_a 4.264
_cell_length_b 4.264
_cell_length_c 4.264
_cell_angle_alpha 90.00
_cell_angle_beta 90.00
_cell_angle_gamma 90.00
_symmetry_space_group_name_H-M 'P m -3 m'
_symmetry_Int_Tables_number 221
_symmetry_space_group_name_Hall '-P 4 2 3'
loop_
_atom_site_label
_atom_site_type_symbol
_atom_site_fract_x
_atom_site_fract_y
_atom_site_fract_z
Ti1 Ti 0.000 0.000 0.000
Pt1 Pt 0.000 0.500 0.500
O1 O 0.500 0.500 0.500
```

Computed properties:
Its crystal system is cubic. As for the total magnetic moment: 0.00 Bohr magnetons per cell.

***

Entry 2:
# K3U2Se7

A relaxed structure of K3U2Se7 (GGA-PBE, Alexandria via LeMat-Bulk).

```
data_K3U2Se7
_chemical_formula_sum 'K6 U4 Se14'
_cell_length_a 5.479
_cell_length_b 26.489
_cell_length_c 5.424
_cell_angle_alpha 90.00
_cell_angle_beta 90.00
_cell_angle_gamma 90.00
_symmetry_space_group_name_H-M 'C m m m'
_symmetry_Int_Tables_number 65
_symmetry_space_group_name_Hall '-C 2 2'
loop_
_atom_site_label
_atom_site_type_symbol
_atom_site_fract_x
_atom_site_fract_y
_atom_site_fract_z
K1 K 0.000 0.000 0.000
K2 K 0.000 0.187 0.000
U1 U 0.000 0.397 0.500
Se1 Se 0.000 0.100 0.500
Se2 Se 0.000 0.298 0.500
Se3 Se 0.000 0.399 0.000
Se4 Se 0.000 0.500 0.500
```

Computed properties:
Its crystal system is orthorhombic. As for the total magnetic moment: 2.02 Bohr magnetons per cell.

***

Entry 3:
# YSiP2S

A relaxed structure of YSiP2S (GGA-PBE, Alexandria via LeMat-Bulk).

```
data_YSiP2S
_chemical_formula_sum 'Y1 Si1 P2 S1'
_cell_length_a 5.248
_cell_length_b 5.248
_cell_length_c 5.128
_cell_angle_alpha 90.00
_cell_angle_beta 90.00
_cell_angle_gamma 90.00
_symmetry_space_group_name_H-M 'P 4/m m m'
_symmetry_Int_Tables_number 123
_symmetry_space_group_name_Hall '-P 4 2'
loop_
_atom_site_label
_atom_site_type_symbol
_atom_site_fract_x
_atom_site_fract_y
_atom_site_fract_z
Y1 Y 0.000 0.000 0.000
Si1 Si 0.500 0.500 0.500
P1 P 0.000 0.500 0.000
S1 S 0.000 0.000 0.500
```

Computed properties:
Its crystal system is tetragonal. As for the total magnetic moment: 0.00 Bohr magnetons per cell.

***

Entry 4:
# TaZnH

A relaxed structure of TaZnH (GGA-PBE, Alexandria via LeMat-Bulk).

```
data_TaZnH
_chemical_formula_sum 'Ta1 Zn1 H1'
_cell_length_a 3.0331
_cell_length_b 3.0331
_cell_length_c 4.6089
_cell_angle_alpha 90.00
_cell_angle_beta 90.00
_cell_angle_gamma 120.00
_symmetry_space_group_name_H-M 'P 3 m 1'
_symmetry_Int_Tables_number 156
_symmetry_space_group_name_Hall 'P 3 -2"'
loop_
_atom_site_label
_atom_site_type_symbol
_atom_site_fract_x
_atom_site_fract_y
_atom_site_fract_z
Ta1 Ta 0.0000 0.0000 0.0000
Zn1 Zn 0.3333 0.6667 0.5191
H1 H 0.6667 0.3333 0.1611
```

Computed properties:
Its crystal system is trigonal. As for the total magnetic moment: 0.00 Bohr magnetons per cell.

***

Entry 5:
# SrCaPrSbO6

A relaxed structure of SrCaPrSbO6 (GGA-PBE, Alexandria via LeMat-Bulk).

```
data_SrCaPrSbO6
_chemical_formula_sum 'Sr4 Ca4 Pr4 Sb4 O24'
_cell_length_a 8.328
_cell_length_b 8.328
_cell_length_c 8.328
_cell_angle_alpha 90.00
_cell_angle_beta 90.00
_cell_angle_gamma 90.00
_symmetry_space_group_name_H-M 'F -4 3 m'
_symmetry_Int_Tables_number 216
_symmetry_space_group_name_Hall 'F -4 2 3'
loop_
_atom_site_label
_atom_site_type_symbol
_atom_site_fract_x
_atom_site_fract_y
_atom_site_fract_z
Sr1 Sr 0.000 0.000 0.000
Ca1 Ca 0.250 0.250 0.750
Pr1 Pr 0.000 0.000 0.500
Sb1 Sb 0.250 0.250 0.250
O1 O 0.013 0.250 0.250
```

Computed properties:
Its crystal system is cubic. As for the total magnetic moment: 0.00 Bohr magnetons per cell.

***

Entry 6:
# KPu4Bi5

A relaxed structure of KPu4Bi5 (GGA-PBE, Alexandria via LeMat-Bulk).

```
data_KPu4Bi5
_chemical_formula_sum 'K1 Pu4 Bi5'
_cell_length_a 4.164
_cell_length_b 4.164
_cell_length_c 18.095
_cell_angle_alpha 90.00
_cell_angle_beta 90.00
_cell_angle_gamma 90.00
_symmetry_space_group_name_H-M 'P 4/m m m'
_symmetry_Int_Tables_number 123
_symmetry_space_group_name_Hall '-P 4 2'
loop_
_atom_site_label
_atom_site_type_symbol
_atom_site_fract_x
_atom_site_fract_y
_atom_site_fract_z
K1 K 0.000 0.000 0.000
Pu1 Pu 0.000 0.000 0.223
Pu2 Pu 0.000 0.000 0.409
Bi1 Bi 0.500 0.500 0.134
Bi2 Bi 0.500 0.500 0.314
Bi3 Bi 0.500 0.500 0.500
```

Computed properties:
Its crystal system is tetragonal. The value obtained for the formation energy from the elements is -0.338 eV/atom. As for the total magnetic moment: 22.84 Bohr magnetons per cell.

***

Per-record electronic total energy, eV/cell: -30.15 -127.40 -23.26 -16.59 -267.56 -81.21